DFT (PBE-GGA) results for a relaxed LaReSn2Pd crystal.

## Properties
Calculated density in g/cm3: 6.49
V in Å³/atom: 34.209
Energy of formation in meV per atom: 1755

Lattice parameters (Å, degrees): 5.908 5.908 4.901 90.00 90.00 90.00
Space group P4/mmm (No. 123)
Asymmetric unit:
La  0.000  0.000  0.000 x1
Re  0.000  0.000  0.500 x1
Sn  0.000  0.500  0.000 x2
Pd  0.500  0.500  0.500 x1